Record 1
! LiCoOs2, optimized geometry, DFT GGA-PBE; values from VASP
! offset from the most stable computed form = 11.3 meV per atom
! formation energy = 210 meV/atom
&SYSTEM
  ibrav = 0, nat = 4, ntyp = 3
/
ATOMIC_SPECIES
Li 6.94 Li.upf
Co 58.93 Co.upf
Os 190.23 Os.upf
CELL_PARAMETERS angstrom
1.3270 0.7662 8.7929
-1.3270 0.7662 8.7929
0.0000 -1.5323 8.7929
ATOMIC_POSITIONS crystal
Li 0.0000 0.0000 0.0000
Co 0.5000 0.5000 0.5000
Os 0.2447 0.2447 0.2447
Os 0.7553 0.7553 0.7553

Record 2
! LiCoOs, optimized geometry, DFT GGA-PBE; values from VASP
! offset from the most stable computed form = 88.7 meV per atom
! formation energy = 195 meV/atom
&SYSTEM
  ibrav = 0, nat = 6, ntyp = 3
/
ATOMIC_SPECIES
Li 6.94 Li.upf
Co 58.93 Co.upf
Os 190.23 Os.upf
CELL_PARAMETERS angstrom
4.1031 0.0000 0.0000
-2.0515 3.5533 0.0000
0.0000 0.0000 4.9184
ATOMIC_POSITIONS crystal
Li 0.3333 0.6667 0.0000
Li 0.6667 0.3333 0.0000
Co 0.3333 0.6667 0.5000
Co 0.6667 0.3333 0.5000
Os 0.0000 0.0000 0.2471
Os 0.0000 0.0000 0.7529

Record 3
! LiCo4Os, optimized geometry, DFT GGA-PBE; values from VASP
! formation energy = 240 meV/atom
&SYSTEM
  ibrav = 0, nat = 6, ntyp = 3
/
ATOMIC_SPECIES
Li 6.94 Li.upf
Co 58.93 Co.upf
Os 190.23 Os.upf
CELL_PARAMETERS angstrom
0.0000 3.3173 3.3173
3.3173 0.0000 3.3173
3.3173 3.3173 0.0000
ATOMIC_POSITIONS crystal
Li 0.0000 0.0000 0.0000
Co 0.1251 0.6250 0.6250
Co 0.6250 0.1251 0.6250
Co 0.6250 0.6250 0.1251
Co 0.6250 0.6250 0.6250
Os 0.2500 0.2500 0.2500